No. 1
# Sm4NpRu4

An optimized crystal structure of Sm4NpRu4 (GGA-PBE, Alexandria via LeMat-Bulk).

Geometry as POSCAR:
```
Sm4NpRu4
1.0
5.899 0.000 0.000
0.000 8.586 0.000
0.000 0.000 8.586
Sm Np Ru
8 2 8
Direct
0.137 0.550 0.180
0.137 0.950 0.320
0.637 0.820 0.050
0.637 0.680 0.450
0.863 0.450 0.820
0.863 0.050 0.680
0.363 0.180 0.950
0.363 0.320 0.550
0.750 0.250 0.250
0.250 0.750 0.750
0.133 0.634 0.515
0.133 0.866 0.985
0.633 0.485 0.134
0.633 0.015 0.366
0.867 0.366 0.485
0.867 0.134 0.015
0.367 0.515 0.866
0.367 0.985 0.634
```

Output
formation energy	-0.142	eV/atom


No. 2
# PmNd3Si2

An optimized crystal structure of PmNd3Si2 (GGA-PBE, Alexandria via LeMat-Bulk).

Geometry as POSCAR:
```
PmNd3Si2
1.0
0.370 -7.174 3.933
-1.315 -7.211 -3.653
5.895 -5.539 -1.283
Pm Nd Si
2 6 4
Direct
0.500 0.500 0.500
0.000 0.000 0.000
0.475 0.025 0.750
0.025 0.750 0.475
0.750 0.475 0.025
0.525 0.975 0.250
0.975 0.250 0.525
0.250 0.525 0.975
0.355 0.355 0.355
0.145 0.145 0.145
0.855 0.855 0.855
0.645 0.645 0.645
```

Output
excess energy over the best structure of this formula in the dataset	266.9	meV/atom
energy relative to the elements, uncorrected	-199	meV per atom